A plane-wave DFT calculation with SCAN was carried out for PSeO2 at its PBEsol-relaxed geometry.

Cell lengths 3.1309, 3.1309, 18.8170 Å; angles 90.00, 90.00, 120.00 degrees
Last column: nearest neighbours and their distance in Å.
Space group R-3m (No. 166, hexagonal axes)
Symmetry-distinct sites (fractional):
P 0.0000 0.0000 0.0000 (multiplicity 3)  6 O 2.09
Se 0.0000 0.0000 0.5000 (multiplicity 3)  2 O 2.08
O 0.0000 0.0000 0.3894 (multiplicity 6)  1 Se 2.08, 3 P 2.09

Calculated values
**Total magnetic moment**: 0.00 μB/cell
**Energy relative to the lowest polymorph listed for this composition**: 0.429 eV/atom
**Raw formation energy**: -111 meV per atom
**V**: 13.31 A^3/atom